A plane-wave DFT calculation with meta-GGA SCAN was carried out for a crystal of CoRh4 relaxed with PBEsol.

Unit cell a=2.651 b=2.651 c=18.308 alpha=90.00 beta=90.00 gamma=90.00
Atoms (fractional coordinates):
Co  0.000  0.000  0.000
Co  0.500  0.500  0.500
Rh  0.000  0.000  0.199
Rh  0.000  0.000  0.406
Rh  0.000  0.000  0.594
Rh  0.000  0.000  0.801
Rh  0.500  0.500  0.094
Rh  0.500  0.500  0.301
Rh  0.500  0.500  0.699
Rh  0.500  0.500  0.906

Values from the calculation:
mass density = 12.1 g/cm3
space group = I4/mmm (139)
E = -30.451 eV/atom
DFT formation energy = 0.027 eV per atom
total magnetic moment = 2.90 μB/f.u.
excess energy over the best structure of this formula in the dataset = 0.0000 eV per atom
Fermi-level density of states = 1.08 states/eV/atom

=====

A plane-wave DFT calculation with meta-GGA SCAN was carried out for a crystal of Ti3SnH relaxed with PBEsol.

Unit cell a=4.117 b=4.117 c=4.117 alpha=90.00 beta=90.00 gamma=90.00
Atoms (fractional coordinates):
Ti  0.000  0.000  0.500
Ti  0.000  0.500  0.000
Ti  0.500  0.000  0.000
Sn  0.500  0.500  0.500
H  0.000  0.000  0.000

Values from the calculation:
mass density = 6.3 g/cm3
space group = Pm-3m (221)
E = -17.972 eV/atom
total magnetic moment = 0.93 μB/f.u.
Fermi-level density of states = 0.94 states/eV/atom

=====

A plane-wave DFT calculation with meta-GGA SCAN was carried out for a crystal of LiCuO relaxed with PBEsol.

Unit cell a=3.380 b=9.152 c=4.814 alpha=90.00 beta=90.00 gamma=90.00
Atoms (fractional coordinates):
Li  0.000  0.232  0.250
Li  0.000  0.768  0.750
Li  0.500  0.268  0.750
Li  0.500  0.732  0.250
Cu  0.000  0.500  0.000
Cu  0.000  0.500  0.500
Cu  0.500  0.000  0.000
Cu  0.500  0.000  0.500
O  0.000  0.350  0.750
O  0.000  0.650  0.250
O  0.500  0.150  0.250
O  0.500  0.850  0.750

Values from the calculation:
mass density = 3.9 g/cm3
space group = Cmcm (63)
E = -9.160 eV/atom
total magnetic moment = 0.00 μB/f.u.
formation energy without anion corrections = -1.2194 eV per atom

=====

A plane-wave DFT calculation with meta-GGA SCAN was carried out for a crystal of Na2TiMn2 relaxed with PBEsol.

Unit cell a=3.521 b=3.521 c=13.580 alpha=90.00 beta=90.00 gamma=90.00
Atoms (fractional coordinates):
Na  0.000  0.500  0.250
Na  0.000  0.500  0.750
Na  0.500  0.000  0.250
Na  0.500  0.000  0.750
Ti  0.000  0.000  0.000
Ti  0.500  0.500  0.500
Mn  0.000  0.000  0.430
Mn  0.000  0.000  0.570
Mn  0.500  0.500  0.070
Mn  0.500  0.500  0.930

Values from the calculation:
mass density = 4.0 g/cm3
space group = I4/mmm (139)
E = -11.302 eV/atom
DFT formation energy = 0.892 eV per atom
total magnetic moment = 0.00 μB/f.u.
Fermi-level density of states = 0.74 states/eV/atom

=====

A plane-wave DFT calculation with meta-GGA SCAN was carried out for a crystal of ScReSb relaxed with PBEsol.

Unit cell a=6.314 b=6.314 c=6.314 alpha=90.00 beta=90.00 gamma=90.00
Atoms (fractional coordinates):
Sc  0.000  0.000  0.000
Sc  0.000  0.500  0.500
Sc  0.500  0.000  0.500
Sc  0.500  0.500  0.000
Re  0.000  0.000  0.500
Re  0.000  0.500  0.000
Re  0.500  0.000  0.000
Re  0.500  0.500  0.500
Sb  0.250  0.250  0.250
Sb  0.250  0.750  0.750
Sb  0.750  0.250  0.750
Sb  0.750  0.750  0.250

Values from the calculation:
mass density = 9.3 g/cm3
space group = F-43m (216)
E = -40.607 eV/atom
total magnetic moment = 1.40 μB/f.u.
Fermi-level density of states = 0.53 states/eV/atom
formation energy without anion corrections = 0.2583 eV per atom

=====

A plane-wave DFT calculation with meta-GGA SCAN was carried out for a crystal of Tl3AgSn relaxed with PBEsol.

Unit cell a=5.335 b=5.335 c=5.335 alpha=90.00 beta=90.00 gamma=90.00
Atoms (fractional coordinates):
Tl  0.000  0.000  0.500
Tl  0.000  0.500  0.000
Tl  0.500  0.000  0.000
Ag  0.000  0.000  0.000
Sn  0.500  0.500  0.500

Values from the calculation:
mass density = 9.2 g/cm3
space group = Pm-3m (221)
E = -56.523 eV/atom
DFT formation energy = 0.350 eV per atom
total magnetic moment = 0.00 μB/f.u.
Fermi-level density of states = 0.54 states/eV/atom